[1]
Mn5Cu PBE optimized geometry; ΔE_f = 0.162 eV per atom; polymorph energy (0 for the lowest one) = 16 meV/atom; mass density = 8.4 Mg/m³
1.0
4.6072 -1.2617 0.0000
4.6072 1.2617 0.0000
-1.5320 0.0000 5.7434
Mn Cu
5 1
Cartesian
0.0000 0.0000 0.0000
-0.5218 0.0000 3.5674
2.0083 0.0000 3.9363
3.1263 0.0000 1.5669
5.1717 0.0000 5.4366
5.5893 0.0000 1.9769


[2]
Mn2CuMo PBE optimized geometry; ΔE_f = 0.177 eV per atom; polymorph energy (0 for the lowest one) = 15 meV/atom; mass density = 8.7 Mg/m³
1.0
0.0000 2.9503 2.9503
2.9503 0.0000 2.9503
2.9503 2.9503 0.0000
Mn Cu Mo
2 1 1
Cartesian
1.4751 1.4751 1.4751
4.4254 4.4254 4.4254
0.0000 0.0000 0.0000
2.9503 2.9503 2.9503


[3]
Mn2CuMo PBE optimized geometry; ΔE_f = 0.163 eV per atom; polymorph energy (0 for the lowest one) = 1 meV/atom; mass density = 8.6 Mg/m³
1.0
-1.9477 1.9477 3.4285
1.9477 -1.9477 3.4285
1.9477 1.9477 -3.4285
Mn Cu Mo
2 1 1
Cartesian
1.9477 0.0000 1.7143
0.0000 1.9477 1.7143
0.0000 0.0000 0.0000
0.0000 0.0000 3.4285


[4]
MnCuMo PBE optimized geometry; ΔE_f = 0.240 eV per atom; polymorph energy (0 for the lowest one) = 52 meV/atom; mass density = 8.9 Mg/m³
1.0
-1.3231 1.8945 4.0075
1.3231 -1.8945 4.0075
1.3231 1.8945 -4.0075
Mn Cu Mo
1 1 1
Cartesian
0.0000 0.0000 0.0000
0.0000 0.0000 2.7081
0.0000 0.0000 5.3483


[5]
MnCu3Mo PBE optimized geometry; ΔE_f = 1.552 eV per atom; polymorph energy (0 for the lowest one) = 0 meV/atom; mass density = 5.7 Mg/m³
1.0
4.6438 0.0000 0.0000
0.0000 4.6438 0.0000
0.0000 0.0000 4.6438
Mn Cu Mo
1 3 1
Cartesian
0.0000 0.0000 0.0000
0.0000 2.3219 2.3219
2.3219 0.0000 2.3219
2.3219 2.3219 0.0000
2.3219 2.3219 2.3219


[6]
MnCu2Mo PBE optimized geometry; ΔE_f = 0.259 eV per atom; polymorph energy (0 for the lowest one) = 87 meV/atom; mass density = 8.7 Mg/m³
1.0
4.5619 -1.3540 0.0000
4.5619 1.3540 0.0000
-0.8692 0.0000 4.2776
Mn Cu Mo
1 2 1
Cartesian
0.0000 0.0000 0.0000
1.6530 0.0000 3.2261
6.6015 0.0000 1.0515
4.1273 0.0000 2.1388


[7]
MnCu2Mo PBE optimized geometry; ΔE_f = 0.219 eV per atom; polymorph energy (0 for the lowest one) = 46 meV/atom; mass density = 9.1 Mg/m³
1.0
-1.7582 1.7582 4.1221
1.7582 -1.7582 4.1221
1.7582 1.7582 -4.1221
Mn Cu Mo
1 2 1
Cartesian
0.0000 0.0000 0.0000
1.7582 0.0000 2.0610
0.0000 1.7582 2.0610
0.0000 0.0000 4.1221


[8]
MnCu2Mo PBE optimized geometry; ΔE_f = 0.235 eV per atom; polymorph energy (0 for the lowest one) = 63 meV/atom; mass density = 8.8 Mg/m³
1.0
2.5592 0.0000 0.0000
0.0000 4.2236 0.0000
-0.4439 0.0000 4.8689
Mn Cu Mo
1 2 1
Cartesian
0.0000 0.0000 0.0000
0.6053 2.1118 3.7495
0.8002 0.0000 2.4906
1.9544 2.1118 1.3201


[9]
MnCuMo PBE optimized geometry; ΔE_f = 0.225 eV per atom; polymorph energy (0 for the lowest one) = 37 meV/atom; mass density = 9.1 Mg/m³
1.0
4.2168 0.0000 0.0000
-2.1084 3.6518 0.0000
0.0000 0.0000 2.5315
Mn Cu Mo
1 1 1
Cartesian
0.0000 0.0000 0.0000
0.0000 2.4346 1.7045
2.1084 1.2173 0.6671


[10]
MnCuMo PBE optimized geometry; ΔE_f = 0.254 eV per atom; polymorph energy (0 for the lowest one) = 67 meV/atom; mass density = 8.9 Mg/m³
1.0
-1.5563 1.5563 4.1361
1.5563 -1.5563 4.1361
1.5563 1.5563 -4.1361
Mn Cu Mo
1 1 1
Cartesian
0.0000 0.0000 0.0000
0.0000 0.0000 2.7383
0.0000 0.0000 5.3787


[11]
MnCuMo PBE optimized geometry; ΔE_f = 0.221 eV per atom; polymorph energy (0 for the lowest one) = 33 meV/atom; mass density = 8.8 Mg/m³
1.0
0.0000 1.8746 5.9182
1.8320 0.0000 5.9182
1.8320 1.8746 0.0000
Mn Cu Mo
1 1 1
Cartesian
0.0000 0.0000 0.0000
1.8320 1.8746 7.7582
1.8320 1.8746 3.8772


[12]
MnCu2Mo PBE optimized geometry; ΔE_f = 0.173 eV per atom; polymorph energy (0 for the lowest one) = 0 meV/atom; mass density = 8.8 Mg/m³
1.0
2.6256 0.0000 0.0000
0.0000 2.6256 0.0000
0.0000 0.0000 7.6514
Mn Cu Mo
1 2 1
Cartesian
0.0000 0.0000 0.0000
0.0000 0.0000 4.0663
1.3128 1.3128 5.8323
1.3128 1.3128 2.0359